(1)
An optimized crystal structure of InGe2MoC, computed with PBE.

a b c (Å): 4.5902 4.1398 4.5902
angles (deg): 90.00 90.00 90.00
With the nearest neighbours (Å) after each atom.
Fractional coordinates of all 5 atoms:
C  0.0000  0.0000  0.0000  2 Mo 2.07, 4 Ge 2.30
Mo  0.0000  0.5000  0.0000  2 C 2.07
Ge  0.0000  0.0000  0.5000  2 C 2.30
Ge  0.5000  0.0000  0.0000  2 C 2.30
In  0.5000  0.5000  0.5000  8 Ge 3.09, 4 Mo 3.25

Results
Final energy, eV/atom: -5.583
Space group: P4/mmm, No. 123
Formation energy from the elements, meV/atom: 822

=====

(2)
An optimized crystal structure of InGe2OsC, computed with PBE.

a b c (Å): 5.2471 3.9427 5.2471
angles (deg): 90.00 90.00 90.00
With the nearest neighbours (Å) after each atom.
Fractional coordinates of all 5 atoms:
Ge  0.0000  0.0000  0.5000  2 In 2.62
Ge  0.5000  0.0000  0.0000  2 In 2.62
Os  0.5000  0.5000  0.5000  8 Ge 3.28
C  0.0000  0.5000  0.0000  2 In 1.97
In  0.0000  0.0000  0.0000  2 C 1.97

Results
Final energy, eV/atom: -4.104
Space group: P4/mmm, No. 123
Formation energy from the elements, meV/atom: 2382

=====

(3)
An optimized crystal structure of InGePC2, computed with PBE.

a b c (Å): 3.7320 5.6490 3.7320
angles (deg): 90.00 90.00 90.00
With the nearest neighbours (Å) after each atom.
Fractional coordinates of all 5 atoms:
P  0.0000  0.0000  0.0000  4 C 1.87
Ge  0.5000  0.5000  0.5000  4 In 2.64
C  0.0000  0.0000  0.5000  2 P 1.87
C  0.5000  0.0000  0.0000  2 P 1.87
In  0.0000  0.5000  0.0000  4 Ge 2.64, 2 P 2.82

Results
Final energy, eV/atom: -4.525
Space group: P4/mmm, No. 123
Formation energy from the elements, meV/atom: 1718

=====

(4)
An optimized crystal structure of InGeRuC2, computed with PBE.

a b c (Å): 3.9398 4.9535 3.9398
angles (deg): 90.00 90.00 90.00
With the nearest neighbours (Å) after each atom.
Fractional coordinates of all 5 atoms:
Ru  0.0000  0.5000  0.0000  2 Ge 2.48
Ge  0.0000  0.0000  0.0000  4 C 1.97
C  0.0000  0.0000  0.5000  2 Ge 1.97
C  0.5000  0.0000  0.0000  2 Ge 1.97
In  0.5000  0.5000  0.5000  4 Ru 2.79

Results
Final energy, eV/atom: -5.099
Space group: P4/mmm, No. 123
Formation energy from the elements, meV/atom: 1916

=====

(5)
An optimized crystal structure of ScInGe2C, computed with PBE.

a b c (Å): 4.4314 4.7235 4.4314
angles (deg): 90.00 90.00 90.00
With the nearest neighbours (Å) after each atom.
Fractional coordinates of all 5 atoms:
Sc  0.5000  0.5000  0.5000  4 In 3.13, 8 Ge 3.24
Ge  0.0000  0.0000  0.5000  2 C 2.22
Ge  0.5000  0.0000  0.0000  2 C 2.22
C  0.0000  0.0000  0.0000  4 Ge 2.22, 2 In 2.36
In  0.0000  0.5000  0.0000  2 C 2.36

Results
Final energy, eV/atom: -4.788
Space group: P4/mmm, No. 123
Formation energy from the elements, meV/atom: 718

=====

(6)
An optimized crystal structure of InSiGeC2, computed with PBE.

a b c (Å): 4.2320 5.6141 4.2320
angles (deg): 90.00 90.00 90.00
With the nearest neighbours (Å) after each atom.
Fractional coordinates of all 5 atoms:
C  0.0000  0.0000  0.5000  2 In 2.12
C  0.5000  0.0000  0.0000  2 In 2.12
Ge  0.0000  0.5000  0.0000  2 In 2.81, 4 Si 2.99
Si  0.5000  0.5000  0.5000  4 Ge 2.99
In  0.0000  0.0000  0.0000  4 C 2.12

Results
Final energy, eV/atom: -3.736
Space group: P4/mmm, No. 123
ΔE_f (raw), eV per atom: 2.509

=====

(7)
An optimized crystal structure of TaInGe2C, computed with PBE.

a b c (Å): 5.1299 5.5802 5.1299
angles (deg): 90.00 90.00 90.00
With the nearest neighbours (Å) after each atom.
Fractional coordinates of all 5 atoms:
Ge  0.0000  0.0000  0.5000  2 In 2.56
Ge  0.5000  0.0000  0.0000  2 In 2.56
In  0.0000  0.0000  0.0000  4 Ge 2.56, 2 Ta 2.79
C  0.5000  0.5000  0.5000  4 Ta 3.63, 8 Ge 3.79
Ta  0.0000  0.5000  0.0000  2 In 2.79

Results
Final energy, eV/atom: -3.802
Space group: P4/mmm, No. 123
Formation energy from the elements, meV/atom: 2808

=====

(8)
An optimized crystal structure of InGeTe2C, computed with PBE.

a b c (Å): 5.7359 5.2762 5.7359
angles (deg): 90.00 90.00 90.00
With the nearest neighbours (Å) after each atom.
Fractional coordinates of all 5 atoms:
Ge  0.0000  0.5000  0.0000  2 In 2.64
Te  0.0000  0.0000  0.5000  2 In 2.87
Te  0.5000  0.0000  0.0000  2 In 2.87
C  0.5000  0.5000  0.5000  8 Te 3.90, 4 Ge 4.06
In  0.0000  0.0000  0.0000  2 Ge 2.64, 4 Te 2.87

Results
Final energy, eV/atom: -2.630
Space group: P4/mmm, No. 123
ΔE_f (raw), eV per atom: 1.942

=====

- Which of these has the highest final energy?
  InGeTe2C

=====

- Which formula does entry 1 have?
  InGe2MoC